Crystalline LiLuSi4 at its relaxed geometry, computed with GGA-PBE.

Values from the calculation:
The value obtained for the uncorrected formation energy is -0.239 eV per atom. Its space group is F-43m, No. 216. For the uncorrected energy, the calculation gives -4.927 eV per atom. As for the calculated density: 5.03 g/cm3.

a = 5.159 Å, b = 5.159 Å, c = 5.159 Å
α = 60.00°, β = 60.00°, γ = 60.00°
Fractional positions:
Li: 0.000 0.000 0.000
Lu: 0.250 0.250 0.250
Si: 0.120 0.627 0.627
Si: 0.627 0.120 0.627
Si: 0.627 0.627 0.120
Si: 0.627 0.627 0.627



Crystalline Ir8OsRh2 at its relaxed geometry, computed with GGA-PBE.

Values from the calculation:
Its space group is C2/m, No. 12. As for the formation energy: -0.01 eV/atom. For the uncorrected energy, the calculation gives -8.813 eV per atom. As for the calculated density: 20.20 g/cm3.

a = 7.235 Å, b = 7.235 Å, c = 6.114 Å
α = 104.64°, β = 104.64°, γ = 30.98°
Fractional positions:
Ir: 0.044 0.044 0.229
Ir: 0.134 0.134 0.677
Ir: 0.319 0.319 0.591
Ir: 0.410 0.410 0.049
Ir: 0.590 0.590 0.951
Ir: 0.681 0.681 0.409
Ir: 0.866 0.866 0.323
Ir: 0.956 0.956 0.771
Os: 0.500 0.500 0.500
Rh: 0.226 0.226 0.135
Rh: 0.774 0.774 0.865



Crystalline Ge5Bi3Se12 at its relaxed geometry, computed with GGA-PBE.

Values from the calculation:
The value obtained for the uncorrected formation energy is -0.201 eV per atom. Its space group is Ia-3d, No. 230. For the uncorrected energy, the calculation gives -4.028 eV per atom. As for the calculated density: 5.86 g/cm3.

a = 14.179 Å, b = 14.179 Å, c = 14.179 Å
α = 109.47°, β = 109.47°, γ = 109.47°
Fractional positions:
Ge: 0.000 0.000 0.000
Ge: 0.000 0.000 0.500
Ge: 0.000 0.500 0.000
Ge: 0.000 0.500 0.500
Ge: 0.125 0.750 0.875
Ge: 0.125 0.875 0.250
Ge: 0.250 0.125 0.875
Ge: 0.250 0.625 0.375
Ge: 0.375 0.250 0.625
Ge: 0.375 0.625 0.750
Ge: 0.500 0.000 0.000
Ge: 0.500 0.000 0.500
Ge: 0.500 0.500 0.000
Ge: 0.500 0.500 0.500
Ge: 0.625 0.375 0.250
Ge: 0.625 0.750 0.375
Ge: 0.750 0.375 0.625
Ge: 0.750 0.875 0.125
Ge: 0.875 0.125 0.750
Ge: 0.875 0.250 0.125
Bi: 0.125 0.250 0.375
Bi: 0.125 0.375 0.750
Bi: 0.250 0.375 0.125
Bi: 0.250 0.875 0.625
Bi: 0.375 0.125 0.250
Bi: 0.375 0.750 0.125
Bi: 0.625 0.250 0.875
Bi: 0.625 0.875 0.750
Bi: 0.750 0.125 0.375
Bi: 0.750 0.625 0.875
Bi: 0.875 0.625 0.250
Bi: 0.875 0.750 0.625
Se: 0.032 0.214 0.124
Se: 0.032 0.318 0.908
Se: 0.090 0.714 0.682
Se: 0.090 0.876 0.408
Se: 0.092 0.624 0.410
Se: 0.092 0.968 0.682
Se: 0.124 0.032 0.214
Se: 0.124 0.592 0.910
Se: 0.182 0.214 0.590
Se: 0.182 0.468 0.592
Se: 0.214 0.124 0.032
Se: 0.214 0.590 0.182
Se: 0.286 0.318 0.910
Se: 0.286 0.468 0.376
Se: 0.318 0.908 0.032
Se: 0.318 0.910 0.286
Se: 0.376 0.286 0.468
Se: 0.376 0.590 0.908
Se: 0.408 0.090 0.876
Se: 0.408 0.818 0.532
Se: 0.410 0.092 0.624
Se: 0.410 0.818 0.786
Se: 0.468 0.376 0.286
Se: 0.468 0.592 0.182
Se: 0.532 0.408 0.818
Se: 0.532 0.624 0.714
Se: 0.590 0.182 0.214
Se: 0.590 0.908 0.376
Se: 0.592 0.182 0.468
Se: 0.592 0.910 0.124
Se: 0.624 0.410 0.092
Se: 0.624 0.714 0.532
Se: 0.682 0.090 0.714
Se: 0.682 0.092 0.968
Se: 0.714 0.532 0.624
Se: 0.714 0.682 0.090
Se: 0.786 0.410 0.818
Se: 0.786 0.876 0.968
Se: 0.818 0.532 0.408
Se: 0.818 0.786 0.410
Se: 0.876 0.408 0.090
Se: 0.876 0.968 0.786
Se: 0.908 0.032 0.318
Se: 0.908 0.376 0.590
Se: 0.910 0.124 0.592
Se: 0.910 0.286 0.318
Se: 0.968 0.682 0.092
Se: 0.968 0.786 0.876



Crystalline Y3Th5P8 at its relaxed geometry, computed with GGA-PBE.

Values from the calculation:
Its space group is R-3m, No. 166. As for the formation energy: -1.58 eV/atom. For the uncorrected energy, the calculation gives -7.815 eV per atom. As for the calculated density: 7.15 g/cm3.

a = 8.181 Å, b = 8.181 Å, c = 8.181 Å
α = 60.21°, β = 60.21°, γ = 60.21°
Fractional positions:
Y: 0.000 0.500 0.500
Y: 0.500 0.000 0.500
Y: 0.500 0.500 0.000
Th: 0.000 0.000 0.000
Th: 0.000 0.000 0.500
Th: 0.000 0.500 0.000
Th: 0.500 0.000 0.000
Th: 0.500 0.500 0.500
P: 0.250 0.250 0.745
P: 0.250 0.745 0.250
P: 0.252 0.252 0.252
P: 0.255 0.750 0.750
P: 0.745 0.250 0.250
P: 0.748 0.748 0.748
P: 0.750 0.255 0.750
P: 0.750 0.750 0.255



Crystalline HfCr3Au at its relaxed geometry, computed with GGA-PBE.

Values from the calculation:
Its space group is Pm-3m, No. 221. As for the formation energy: 1.94 eV/atom. For the uncorrected energy, the calculation gives -6.478 eV per atom. As for the calculated density: 9.68 g/cm3.

a = 4.501 Å, b = 4.501 Å, c = 4.501 Å
α = 90.00°, β = 90.00°, γ = 90.00°
Fractional positions:
Hf: 0.000 0.000 0.000
Cr: 0.000 0.000 0.500
Cr: 0.000 0.500 0.000
Cr: 0.500 0.000 0.000
Au: 0.500 0.500 0.500



Crystalline Sr2PtAu2 at its relaxed geometry, computed with GGA-PBE.

Values from the calculation:
Its space group is C2/m, No. 12. As for the formation energy: -0.75 eV/atom. For the uncorrected energy, the calculation gives -3.942 eV per atom. As for the calculated density: 9.28 g/cm3.

a = 6.169 Å, b = 6.169 Å, c = 12.106 Å
α = 115.74°, β = 115.74°, γ = 42.12°
Fractional positions:
Sr: 0.054 0.054 0.362
Sr: 0.197 0.197 0.113
Sr: 0.803 0.803 0.887
Sr: 0.946 0.946 0.638
Pt: 0.275 0.275 0.692
Pt: 0.725 0.725 0.308
Au: 0.370 0.370 0.415
Au: 0.476 0.476 0.112
Au: 0.524 0.524 0.888
Au: 0.630 0.630 0.585



Crystalline PuS6Cl2 at its relaxed geometry, computed with GGA-PBE.

Values from the calculation:
The value obtained for the uncorrected formation energy is -0.524 eV per atom. Its space group is P-1, No. 2. For the uncorrected energy, the calculation gives -5.278 eV per atom. As for the calculated density: 3.08 g/cm3.

a = 4.222 Å, b = 8.047 Å, c = 8.651 Å
α = 111.12°, β = 91.74°, γ = 90.99°
Fractional positions:
Pu: 0.000 0.000 0.000
S: 0.096 0.722 0.461
S: 0.100 0.494 0.723
S: 0.121 0.292 0.312
S: 0.879 0.708 0.688
S: 0.900 0.506 0.277
S: 0.904 0.278 0.539
Cl: 0.499 0.148 0.889
Cl: 0.501 0.852 0.111



Crystalline Li12Ag3Au at its relaxed geometry, computed with GGA-PBE.

Values from the calculation:
Its space group is P4/mmm, No. 123. As for the formation energy: -0.19 eV/atom. For the uncorrected energy, the calculation gives -2.368 eV per atom. As for the calculated density: 3.79 g/cm3.

a = 4.014 Å, b = 4.014 Å, c = 16.425 Å
α = 90.00°, β = 90.00°, γ = 90.00°
Fractional positions:
Li: 0.000 0.000 0.000
Li: 0.000 0.000 0.247
Li: 0.000 0.000 0.500
Li: 0.000 0.000 0.753
Li: 0.000 0.500 0.119
Li: 0.000 0.500 0.373
Li: 0.000 0.500 0.627
Li: 0.000 0.500 0.881
Li: 0.500 0.000 0.119
Li: 0.500 0.000 0.373
Li: 0.500 0.000 0.627
Li: 0.500 0.000 0.881
Ag: 0.500 0.500 0.248
Ag: 0.500 0.500 0.500
Ag: 0.500 0.500 0.752
Au: 0.500 0.500 0.000



Crystalline ScCuP2 at its relaxed geometry, computed with GGA-PBE.

Values from the calculation:
Its space group is C2/m, No. 12. As for the formation energy: -0.59 eV/atom. For the uncorrected energy, the calculation gives -5.899 eV per atom. As for the calculated density: 3.92 g/cm3.

a = 4.085 Å, b = 4.085 Å, c = 5.977 Å
α = 114.64°, β = 114.64°, γ = 55.14°
Fractional positions:
Sc: 0.000 0.000 0.000
Cu: 0.000 0.000 0.500
P: 0.425 0.425 0.262
P: 0.575 0.575 0.738



Crystalline Sr2PdRhO4 at its relaxed geometry, computed with GGA-PBE.

Values from the calculation:
The value obtained for the uncorrected formation energy is -1.323 eV per atom. Its space group is I-4, No. 82. For the uncorrected energy, the calculation gives -5.791 eV per atom. As for the calculated density: 6.05 g/cm3.

a = 5.433 Å, b = 5.433 Å, c = 5.433 Å
α = 110.97°, β = 110.97°, γ = 106.51°
Fractional positions:
Sr: 0.000 0.000 0.000
Sr: 0.750 0.250 0.500
Pd: 0.250 0.750 0.500
Rh: 0.500 0.500 0.000
O: 0.117 0.075 0.611
O: 0.464 0.506 0.389
O: 0.494 0.883 0.958
O: 0.925 0.536 0.042



Crystalline CeCr2PC at its relaxed geometry, computed with GGA-PBE.

Values from the calculation:
Its space group is Cmcm, No. 63. As for the formation energy: -0.45 eV/atom. For the uncorrected energy, the calculation gives -8.412 eV per atom. As for the calculated density: 6.42 g/cm3.

a = 5.989 Å, b = 5.989 Å, c = 5.242 Å
α = 90.00°, β = 90.00°, γ = 127.87°
Fractional positions:
Ce: 0.250 0.750 0.750
Ce: 0.750 0.250 0.250
Cr: 0.236 0.236 0.000
Cr: 0.236 0.236 0.500
Cr: 0.764 0.764 0.000
Cr: 0.764 0.764 0.500
P: 0.377 0.623 0.250
P: 0.623 0.377 0.750
C: 0.067 0.933 0.250
C: 0.933 0.067 0.750



Crystalline As3PbAu3 at its relaxed geometry, computed with GGA-PBE.

Values from the calculation:
Its space group is Pm-3n, No. 223. As for the formation energy: 0.25 eV/atom. For the uncorrected energy, the calculation gives -3.679 eV per atom. As for the calculated density: 9.20 g/cm3.

a = 7.173 Å, b = 7.173 Å, c = 7.173 Å
α = 90.00°, β = 90.00°, γ = 90.00°
Fractional positions:
As: 0.000 0.250 0.500
As: 0.000 0.750 0.500
As: 0.250 0.500 0.000
As: 0.500 0.000 0.250
As: 0.500 0.000 0.750
As: 0.750 0.500 0.000
Pb: 0.000 0.000 0.000
Pb: 0.500 0.500 0.500
Au: 0.000 0.500 0.250
Au: 0.000 0.500 0.750
Au: 0.250 0.000 0.500
Au: 0.500 0.250 0.000
Au: 0.500 0.750 0.000
Au: 0.750 0.000 0.500



Which formula does entry 12 have?
As3PbAu3



Which formula does entry 8 have?
Li12Ag3Au



Which of these has the highest calculated density?
Ir8OsRh2



What is the formula in the eleventh record?
CeCr2PC